1.
An optimized crystal structure of CsV2Au. Source: Alexandria, functional GGA-PBE.

The value obtained for the uncorrected energy is -66.85 eV for the cell shown. For the magnetization, the calculation gives 0.000 μB per formula unit. The density of states at the Fermi level is 18.51 states/eV/cell. Its formation energy is 1.414 eV/atom.

It has space group Fm-3m (No. 225), with a = 6.676 Å, b = 6.676 Å, c = 6.676 Å, α = 90.00°, β = 90.00° and γ = 90.00°. The inequivalent atoms are Cs at (0.000, 0.000, 0.000), V at (0.250, 0.250, 0.250) and Au at (0.000, 0.000, 0.500).

***

2.
An optimized crystal structure of Cs2VAu4. Source: Alexandria, functional GGA-PBE.

The value obtained for the uncorrected energy is -46.81 eV for the cell shown. For the magnetization, the calculation gives 2.998 μB per formula unit. The density of states at the Fermi level is 10.65 states/eV/cell. Its formation energy is 0.076 eV/atom.

It has space group I4/mmm (No. 139), with a = 5.285 Å, b = 5.285 Å, c = 17.871 Å, α = 90.00°, β = 90.00° and γ = 90.00°. The inequivalent atoms are Cs at (0.000, 0.000, 0.145), V at (0.000, 0.000, 0.500), Au at (0.000, 0.000, 0.355) and Au at (0.000, 0.500, 0.000).

***

3.
An optimized crystal structure of Cs2VAu. Source: Alexandria, functional GGA-PBE.

The value obtained for the uncorrected energy is -43.36 eV for the cell shown. For the magnetization, the calculation gives 4.256 μB per formula unit. The density of states at the Fermi level is 33.85 states/eV/cell. Its formation energy is 0.815 eV/atom.

It has space group Fm-3m (No. 225), with a = 8.905 Å, b = 8.905 Å, c = 8.905 Å, α = 90.00°, β = 90.00° and γ = 90.00°. The inequivalent atoms are Cs at (0.250, 0.250, 0.250), V at (0.000, 0.000, 0.000) and Au at (0.000, 0.000, 0.500).

***

4.
An optimized crystal structure of CsW3Au. Source: Alexandria, functional GGA-PBE.

The value obtained for the uncorrected energy is -23.50 eV for the cell shown. For the magnetization, the calculation gives 0.000 μB per formula unit. The offset from the most stable computed form is 4.943 eV per formula unit. The density of states at the Fermi level is 3.94 states/eV/cell. Its formation energy is 3.897 eV/atom.

It has space group Pm-3m (No. 221), with a = 4.876 Å, b = 4.876 Å, c = 4.876 Å, α = 90.00°, β = 90.00° and γ = 90.00°. The inequivalent atoms are Cs at (0.000, 0.000, 0.000), W at (0.000, 0.000, 0.500) and Au at (0.500, 0.500, 0.500).

***

5.
An optimized crystal structure of CsWAu2. Source: Alexandria, functional GGA-PBE.

The value obtained for the uncorrected energy is -58.71 eV for the cell shown. For the magnetization, the calculation gives 4.126 μB per formula unit. The density of states at the Fermi level is 9.33 states/eV/cell. Its formation energy is 1.421 eV/atom.

It has space group Fm-3m (No. 225), with a = 7.228 Å, b = 7.228 Å, c = 7.228 Å, α = 90.00°, β = 90.00° and γ = 90.00°. The inequivalent atoms are Cs at (0.000, 0.000, 0.000), W at (0.000, 0.000, 0.500) and Au at (0.250, 0.250, 0.250).

***

6.
An optimized crystal structure of CsWAu. Source: Alexandria, functional GGA-PBE.

The value obtained for the uncorrected energy is -58.40 eV for the cell shown. For the magnetization, the calculation gives 0.000 μB per formula unit. The offset from the most stable computed form is 0.175 eV per formula unit. The density of states at the Fermi level is 8.65 states/eV/cell. Its formation energy is 0.828 eV/atom.

It has space group Pnma (No. 62), with a = 13.950 Å, b = 5.271 Å, c = 4.941 Å, α = 90.00°, β = 90.00° and γ = 90.00°. The inequivalent atoms are Cs at (0.229, 0.250, 0.003), W at (0.001, 0.250, 0.500) and Au at (0.000, 0.000, 0.000).

***

7.
An optimized crystal structure of CsWAu. Source: Alexandria, functional GGA-PBE.

The value obtained for the uncorrected energy is -59.10 eV for the cell shown. For the magnetization, the calculation gives 0.000 μB per formula unit. The offset from the most stable computed form is 0.000 eV per formula unit. The density of states at the Fermi level is 6.99 states/eV/cell. Its formation energy is 0.770 eV/atom.

It has space group Pnma (No. 62), with a = 11.565 Å, b = 3.307 Å, c = 10.350 Å, α = 90.00°, β = 90.00° and γ = 90.00°. The inequivalent atoms are Cs at (0.180, 0.250, 0.085), W at (0.031, 0.250, 0.422) and Au at (0.078, 0.250, 0.752).

***

8.
An optimized crystal structure of CsW2Au. Source: Alexandria, functional GGA-PBE.

The value obtained for the uncorrected energy is -85.67 eV for the cell shown. For the magnetization, the calculation gives 0.000 μB per formula unit. The density of states at the Fermi level is 18.28 states/eV/cell. Its formation energy is 2.155 eV/atom.

It has space group Fm-3m (No. 225), with a = 6.738 Å, b = 6.738 Å, c = 6.738 Å, α = 90.00°, β = 90.00° and γ = 90.00°. The inequivalent atoms are Cs at (0.000, 0.000, 0.000), W at (0.250, 0.250, 0.250) and Au at (0.000, 0.000, 0.500).